Entry from Alexandria: a geometry-optimized Nd8In2Ni structure (PBE-GGA).

CIF file:
```
data_Nd8In2Ni
_space_group_name_H-M_alt 'P 1'
_space_group_IT_number 1
_space_group_name_Hall 'P 1'
_cell_length_a 5.2201
_cell_length_b 6.9531
_cell_length_c 9.9164
_cell_angle_alpha 103.32
_cell_angle_beta 105.26
_cell_angle_gamma 90.00
loop_
_atom_site_label
_atom_site_type_symbol
_atom_site_fract_x
_atom_site_fract_y
_atom_site_fract_z
Nd1 Nd 0.2096 0.3008 0.4193
Nd2 Nd 0.5908 0.4581 0.1815
Nd3 Nd 0.7904 0.6992 0.5807
Nd4 Nd 0.9861 0.2205 0.9722
Nd5 Nd 0.4092 0.5419 0.8185
Nd6 Nd 0.0139 0.7795 0.0278
Nd7 Nd 0.6452 0.9787 0.2903
Nd8 Nd 0.3548 0.0213 0.7097
Ni1 Ni 0.5000 0.0000 0.0000
In1 In 0.1839 0.7475 0.3678
In2 In 0.8161 0.2525 0.6322
```

**Space-group type**: C2/m
**N(E_F)**: 11.8 states/eV/f.u.
**Final energy**: -51.65 eV/cell
**ΔH_f (0 K)**: -2.25 eV per formula unit

Entry from Alexandria: a geometry-optimized Nd3In8Ni3 structure (PBE-GGA).

CIF file:
```
data_Nd3In8Ni3
_space_group_name_H-M_alt 'P 1'
_space_group_IT_number 1
_space_group_name_Hall 'P 1'
_cell_length_a 4.8420
_cell_length_b 8.8376
_cell_length_c 8.8438
_cell_angle_alpha 62.44
_cell_angle_beta 74.11
_cell_angle_gamma 74.10
loop_
_atom_site_label
_atom_site_type_symbol
_atom_site_fract_x
_atom_site_fract_y
_atom_site_fract_z
Ni1 Ni 0.6628 0.6649 0.0095
Ni2 Ni 0.0000 0.5000 0.5000
Ni3 Ni 0.3372 0.3351 0.9905
Nd1 Nd 0.0000 0.0000 0.0000
Nd2 Nd 0.2824 0.7218 0.7134
Nd3 Nd 0.7176 0.2782 0.2866
In1 In 0.1359 0.1648 0.5635
In2 In 0.8641 0.8352 0.4365
In3 In 0.1495 0.5646 0.1364
In4 In 0.5106 0.6573 0.3215
In5 In 0.8505 0.4354 0.8636
In6 In 0.6453 0.9596 0.7497
In7 In 0.3547 0.0404 0.2503
In8 In 0.4894 0.3427 0.6785
```

**Space-group type**: C2/m
**N(E_F)**: 8.4 states/eV/f.u.
**Final energy**: -58.30 eV/cell
**ΔH_f (0 K)**: -4.75 eV per formula unit

Entry from Alexandria: a geometry-optimized Nd2InNi structure (PBE-GGA).

CIF file:
```
data_Nd2InNi
_space_group_name_H-M_alt 'P 1'
_space_group_IT_number 1
_space_group_name_Hall 'P 1'
_cell_length_a 5.2711
_cell_length_b 5.2711
_cell_length_c 5.2711
_cell_angle_alpha 60.00
_cell_angle_beta 60.00
_cell_angle_gamma 60.00
loop_
_atom_site_label
_atom_site_type_symbol
_atom_site_fract_x
_atom_site_fract_y
_atom_site_fract_z
Nd1 Nd 0.7500 0.7500 0.7500
Nd2 Nd 0.2500 0.2500 0.2500
Ni1 Ni 0.5000 0.5000 0.5000
In1 In 0.0000 0.0000 0.0000
```

**Space-group type**: Fm-3m
**N(E_F)**: 4.1 states/eV/f.u.
**Final energy**: -18.95 eV/cell
**ΔH_f (0 K)**: -0.90 eV per formula unit

Entry from Alexandria: a geometry-optimized NdIn4Ni2 structure (PBE-GGA).

CIF file:
```
data_NdIn4Ni2
_space_group_name_H-M_alt 'P 1'
_space_group_IT_number 1
_space_group_name_Hall 'P 1'
_cell_length_a 4.4952
_cell_length_b 7.0294
_cell_length_c 18.3359
_cell_angle_alpha 90.00
_cell_angle_beta 90.00
_cell_angle_gamma 90.00
loop_
_atom_site_label
_atom_site_type_symbol
_atom_site_fract_x
_atom_site_fract_y
_atom_site_fract_z
Ni1 Ni 0.2500 0.9654 0.7829
Ni2 Ni 0.7500 0.0346 0.2171
Ni3 Ni 0.7500 0.4654 0.7171
Ni4 Ni 0.7500 0.2427 0.4596
Ni5 Ni 0.2500 0.5346 0.2829
Ni6 Ni 0.7500 0.2573 0.9596
Ni7 Ni 0.2500 0.7427 0.0404
Ni8 Ni 0.2500 0.7573 0.5404
In1 In 0.7500 0.3236 0.3155
In2 In 0.2500 0.8236 0.1845
In3 In 0.2500 0.2358 0.1963
In4 In 0.7500 0.8455 0.4681
In5 In 0.2500 0.3455 0.0319
In6 In 0.7500 0.7358 0.3037
In7 In 0.2500 0.1545 0.5319
In8 In 0.7500 0.4928 0.5723
In9 In 0.7500 0.1764 0.8155
In10 In 0.7500 0.7642 0.8037
In11 In 0.2500 0.6764 0.6845
In12 In 0.7500 0.6545 0.9681
In13 In 0.7500 0.0072 0.0723
In14 In 0.2500 0.2642 0.6963
In15 In 0.2500 0.5072 0.4277
In16 In 0.2500 0.9928 0.9277
Nd1 Nd 0.7500 0.5219 0.1397
Nd2 Nd 0.2500 0.4781 0.8603
Nd3 Nd 0.2500 0.0219 0.3603
Nd4 Nd 0.7500 0.9781 0.6397
```

**Space-group type**: Pnma
**N(E_F)**: 3.7 states/eV/f.u.
**Final energy**: -117.98 eV/cell
**ΔH_f (0 K)**: -2.21 eV per formula unit

Entry from Alexandria: a geometry-optimized NdIn2Ni structure (PBE-GGA).

CIF file:
```
data_NdIn2Ni
_space_group_name_H-M_alt 'P 1'
_space_group_IT_number 1
_space_group_name_Hall 'P 1'
_cell_length_a 4.4374
_cell_length_b 4.4374
_cell_length_c 6.1047
_cell_angle_alpha 68.69
_cell_angle_beta 68.69
_cell_angle_gamma 60.00
loop_
_atom_site_label
_atom_site_type_symbol
_atom_site_fract_x
_atom_site_fract_y
_atom_site_fract_z
In1 In 0.7157 0.7157 0.8528
In2 In 0.2843 0.2843 0.1472
Ni1 Ni 0.0000 0.0000 0.0000
Nd1 Nd 0.5000 0.5000 0.5000
```

**Space-group type**: R-3m
**N(E_F)**: 2.7 states/eV/f.u.
**Final energy**: -17.20 eV/cell
**ΔH_f (0 K)**: -1.17 eV per formula unit

Entry from Alexandria: a geometry-optimized NdIn4Ni4 structure (PBE-GGA).

CIF file:
```
data_NdIn4Ni4
_space_group_name_H-M_alt 'P 1'
_space_group_IT_number 1
_space_group_name_Hall 'P 1'
_cell_length_a 5.1402
_cell_length_b 8.4862
_cell_length_c 8.4862
_cell_angle_alpha 90.00
_cell_angle_beta 90.00
_cell_angle_gamma 90.00
loop_
_atom_site_label
_atom_site_type_symbol
_atom_site_fract_x
_atom_site_fract_y
_atom_site_fract_z
In1 In 0.6054 0.8875 0.6564
In2 In 0.3946 0.3436 0.8875
In3 In 0.1054 0.8436 0.3875
In4 In 0.8946 0.6125 0.8436
In5 In 0.6054 0.1125 0.3436
In6 In 0.8946 0.3875 0.1564
In7 In 0.3946 0.6564 0.1125
In8 In 0.1054 0.1564 0.6125
Ni1 Ni 0.8934 0.6972 0.1505
Ni2 Ni 0.1066 0.1505 0.3028
Ni3 Ni 0.3934 0.6505 0.8028
Ni4 Ni 0.6066 0.1972 0.6505
Ni5 Ni 0.8934 0.3028 0.8495
Ni6 Ni 0.6066 0.8028 0.3495
Ni7 Ni 0.1066 0.8495 0.6972
Ni8 Ni 0.3934 0.3495 0.1972
Nd1 Nd 0.5000 0.5000 0.5000
Nd2 Nd 0.0000 0.0000 0.0000
```

**Space-group type**: P4_2/n
**N(E_F)**: 5.9 states/eV/f.u.
**Final energy**: -78.82 eV/cell
**ΔH_f (0 K)**: -0.56 eV per formula unit

Entry from Alexandria: a geometry-optimized Nd6In3Ni structure (PBE-GGA).

CIF file:
```
data_Nd6In3Ni
_space_group_name_H-M_alt 'P 1'
_space_group_IT_number 1
_space_group_name_Hall 'P 1'
_cell_length_a 5.4928
_cell_length_b 9.4337
_cell_length_c 11.4139
_cell_angle_alpha 90.00
_cell_angle_beta 90.02
_cell_angle_gamma 90.00
loop_
_atom_site_label
_atom_site_type_symbol
_atom_site_fract_x
_atom_site_fract_y
_atom_site_fract_z
In1 In 0.0000 0.0000 0.5000
In2 In 0.5000 0.5000 0.0000
In3 In 0.0003 0.3404 0.7527
In4 In 0.9997 0.6596 0.2473
In5 In 0.4997 0.8404 0.7473
In6 In 0.5003 0.1596 0.2527
Nd1 Nd 0.9998 0.6814 0.9379
Nd2 Nd 0.0002 0.9931 0.2312
Nd3 Nd 0.0002 0.3186 0.0621
Nd4 Nd 0.4998 0.4931 0.2688
Nd5 Nd 0.9998 0.0069 0.7688
Nd6 Nd 0.5002 0.1571 0.9334
Nd7 Nd 0.4998 0.8429 0.0666
Nd8 Nd 0.5002 0.1814 0.5621
Nd9 Nd 0.9998 0.6571 0.5666
Nd10 Nd 0.0002 0.3429 0.4334
Nd11 Nd 0.5002 0.5069 0.7312
Nd12 Nd 0.4998 0.8186 0.4379
Ni1 Ni 0.0000 0.0000 0.0000
Ni2 Ni 0.5000 0.5000 0.5000
```

**Space-group type**: Pnnm
**N(E_F)**: 9.3 states/eV/f.u.
**Final energy**: -90.84 eV/cell
**ΔH_f (0 K)**: -2.82 eV per formula unit

Entry from Alexandria: a geometry-optimized Nd2In5Ni3 structure (PBE-GGA).

CIF file:
```
data_Nd2In5Ni3
_space_group_name_H-M_alt 'P 1'
_space_group_IT_number 1
_space_group_name_Hall 'P 1'
_cell_length_a 6.0450
_cell_length_b 9.0443
_cell_length_c 9.0443
_cell_angle_alpha 71.96
_cell_angle_beta 70.48
_cell_angle_gamma 70.48
loop_
_atom_site_label
_atom_site_type_symbol
_atom_site_fract_x
_atom_site_fract_y
_atom_site_fract_z
In1 In 0.0429 0.2071 0.2071
In2 In 0.9571 0.7929 0.7929
In3 In 0.2500 0.5000 0.5000
In4 In 0.9225 0.8960 0.2590
In5 In 0.4225 0.2590 0.8960
In6 In 0.0775 0.1040 0.7410
In7 In 0.7500 0.5000 0.5000
In8 In 0.4571 0.7929 0.7929
In9 In 0.5429 0.2071 0.2071
In10 In 0.5775 0.7410 0.1040
Ni1 Ni 0.6477 0.4436 0.2610
Ni2 Ni 0.3523 0.5564 0.7390
Ni3 Ni 0.8523 0.7390 0.5564
Ni4 Ni 0.2500 0.0000 0.0000
Ni5 Ni 0.7500 0.0000 0.0000
Ni6 Ni 0.1477 0.2610 0.4436
Nd1 Nd 0.6526 0.1303 0.5646
Nd2 Nd 0.3474 0.8697 0.4354
Nd3 Nd 0.8474 0.4354 0.8697
Nd4 Nd 0.1526 0.5646 0.1303
```

**Space-group type**: Ibam
**N(E_F)**: 6.6 states/eV/f.u.
**Final energy**: -87.83 eV/cell
**ΔH_f (0 K)**: -3.34 eV per formula unit

Entry from Alexandria: a geometry-optimized NdIn2Ni structure (PBE-GGA).

CIF file:
```
data_NdIn2Ni
_space_group_name_H-M_alt 'P 1'
_space_group_IT_number 1
_space_group_name_Hall 'P 1'
_cell_length_a 3.3487
_cell_length_b 3.3487
_cell_length_c 7.7488
_cell_angle_alpha 90.00
_cell_angle_beta 90.00
_cell_angle_gamma 90.00
loop_
_atom_site_label
_atom_site_type_symbol
_atom_site_fract_x
_atom_site_fract_y
_atom_site_fract_z
Nd1 Nd 0.5000 0.5000 0.5000
In1 In 0.0000 0.0000 0.8077
In2 In 0.0000 0.0000 0.1923
Ni1 Ni 0.5000 0.5000 0.0000
```

**Space-group type**: P4/mmm
**N(E_F)**: 2.7 states/eV/f.u.
**Final energy**: -17.04 eV/cell
**ΔH_f (0 K)**: -1.01 eV per formula unit

Entry from Alexandria: a geometry-optimized Nd4InNi2 structure (PBE-GGA).

CIF file:
```
data_Nd4InNi2
_space_group_name_H-M_alt 'P 1'
_space_group_IT_number 1
_space_group_name_Hall 'P 1'
_cell_length_a 4.9505
_cell_length_b 4.9505
_cell_length_c 9.4854
_cell_angle_alpha 74.87
_cell_angle_beta 74.87
_cell_angle_gamma 60.00
loop_
_atom_site_label
_atom_site_type_symbol
_atom_site_fract_x
_atom_site_fract_y
_atom_site_fract_z
Ni1 Ni 0.9008 0.9008 0.2975
Ni2 Ni 0.0992 0.0992 0.7025
In1 In 0.0000 0.0000 0.0000
Nd1 Nd 0.6130 0.6130 0.1610
Nd2 Nd 0.3870 0.3870 0.8390
Nd3 Nd 0.2046 0.2046 0.3861
Nd4 Nd 0.7954 0.7954 0.6139
```

**Space-group type**: R-3m
**N(E_F)**: 4.7 states/eV/f.u.
**Final energy**: -34.58 eV/cell
**ΔH_f (0 K)**: -1.20 eV per formula unit